(1)
First-principles (PBE) data for an optimized crystal structure of Li2ZnTe, as listed in Alexandria via LeMat-Bulk.

For the raw total energy, the calculation gives -2.54 eV/atom. For the magnetic moment, the calculation gives 0.0 μB/f.u. The value obtained for the density of states at the Fermi level is 0.2326 states/eV/atom.

The structure belongs to space group P4mm (No. 99); the cell edges are 4.386, 4.386 and 3.979 Å and the angles 90.00°, 90.00° and 90.00°. The asymmetric unit holds Li at (0.000, 0.500, 0.000), Zn at (0.000, 0.000, 0.541) and Te at (0.500, 0.500, 0.486).

***

(2)
First-principles (PBE) data for an optimized crystal structure of Li2ZnTe, as listed in Alexandria via LeMat-Bulk.

For the raw total energy, the calculation gives -2.42 eV/atom. For the magnetic moment, the calculation gives 0.0 μB/f.u. The value obtained for the density of states at the Fermi level is 0.3439 states/eV/atom.

The structure belongs to space group Cmmm (No. 65); the cell edges are 5.146, 5.159 and 6.002 Å and the angles 90.00°, 90.00° and 90.00°. The asymmetric unit holds Li at (0.000, 0.000, 0.244), Zn at (0.000, 0.500, 0.500) and Te at (0.000, 0.500, 0.000).

***

(3)
First-principles (PBE) data for an optimized crystal structure of LiZn2Te2, as listed in Alexandria via LeMat-Bulk.

For the raw total energy, the calculation gives -2.33 eV/atom. For the magnetic moment, the calculation gives 0.0 μB/f.u. The value obtained for the density of states at the Fermi level is 0.7639 states/eV/atom.

The structure belongs to space group I4/mmm (No. 139); the cell edges are 5.351, 5.351 and 8.677 Å and the angles 90.00°, 90.00° and 90.00°. The asymmetric unit holds Li at (0.000, 0.000, 0.000), Zn at (0.000, 0.000, 0.354) and Te at (0.000, 0.500, 0.250).

***

(4)
First-principles (PBE) data for an optimized crystal structure of LiZn2Te2, as listed in Alexandria via LeMat-Bulk.

For the raw total energy, the calculation gives -2.37 eV/atom. For the magnetic moment, the calculation gives 0.0 μB/f.u. The value obtained for the density of states at the Fermi level is 0.3910 states/eV/atom.

The structure belongs to space group I4/mmm (No. 139); the cell edges are 4.112, 4.112 and 14.708 Å and the angles 90.00°, 90.00° and 90.00°. The asymmetric unit holds Li at (0.000, 0.000, 0.000), Zn at (0.000, 0.500, 0.250) and Te at (0.000, 0.000, 0.382).

***

(5)
First-principles (PBE) data for an optimized crystal structure of Li2ZnTe, as listed in Alexandria via LeMat-Bulk.

For the raw total energy, the calculation gives -2.27 eV/atom. For the magnetic moment, the calculation gives 0.0 μB/f.u. The value obtained for the density of states at the Fermi level is 0.2180 states/eV/atom.

The structure belongs to space group R-3m (No. 166, hexagonal axes); the cell edges are 3.4701, 3.4701 and 26.0537 Å and the angles 90.00°, 90.00° and 120.00°. The asymmetric unit holds Li at (0.0000, 0.0000, 0.2422), Zn at (0.0000, 0.0000, 0.0000) and Te at (0.0000, 0.0000, 0.5000).

***

(6)
First-principles (PBE) data for an optimized crystal structure of Li2ZnTe, as listed in Alexandria via LeMat-Bulk.

For the raw total energy, the calculation gives -2.55 eV/atom. For the magnetic moment, the calculation gives 0.0 μB/f.u. The value obtained for the density of states at the Fermi level is 0.0000 states/eV/atom.

The structure belongs to space group Fm-3m (No. 225); the cell edges are 6.894, 6.894 and 6.894 Å and the angles 90.00°, 90.00° and 90.00°. The asymmetric unit holds Li at (0.250, 0.250, 0.250), Zn at (0.000, 0.000, 0.000) and Te at (0.000, 0.000, 0.500).

***

Listing energy relative to the elements, uncorrected for the structures above in their given order: -0.476, -0.360, -0.176, -0.221, -0.211, -0.491 eV/atom.
Listing volume for the structures above in their given order: 19.14, 19.92, 24.84, 24.87, 22.64, 20.48 Å³/atom.